First-principles (GGA-PBE) data for Ac2MgZn2Pd5 after structural relaxation, as listed in Alexandria.

Cell: 10.264 10.264 3.840 Å, 90.00 90.00 90.00°
Sites, in units of the cell vectors:
1 Ac 0.181 0.319 0.000
2 Ac 0.319 0.819 0.000
3 Ac 0.681 0.181 0.000
4 Ac 0.819 0.681 0.000
5 Mg 0.000 0.000 0.000
6 Mg 0.500 0.500 0.000
7 Zn 0.116 0.616 0.000
8 Zn 0.384 0.116 0.000
9 Zn 0.616 0.884 0.000
10 Zn 0.884 0.384 0.000
11 Pd 0.000 0.500 0.500
12 Pd 0.062 0.789 0.500
13 Pd 0.211 0.062 0.500
14 Pd 0.289 0.562 0.500
15 Pd 0.438 0.289 0.500
16 Pd 0.500 0.000 0.500
17 Pd 0.562 0.711 0.500
18 Pd 0.711 0.438 0.500
19 Pd 0.789 0.938 0.500
20 Pd 0.938 0.211 0.500

Output
M_tot   0.00 Bohr magnetons per cell
Energy relative to the elements   -0.62 eV/atom